{"formula": "RbZnBr2F", "functional": "PBE-GGA", "state": "optimized geometry", "e_form_raw_ev_per_atom": -1.56, "dft_energy_ev_per_cell": -15.239, "rho_g_cm3": 4.5, "spacegroup": "P4/mmm (123)", "cell": [[-1.9845, 4.0945, -3.0343], [-4.9841, -2.2386, 0.2389], [-0.7979, 2.1403, 3.4100]], "species": ["Br", "F", "Rb", "Zn", "Br"], "frac_coords": [[0.0000, 0.5000, 0.0000], [0.0000, 0.0000, 0.5000], [0.5000, 0.5000, 0.5000], [0.0000, 0.0000, 0.0000], [0.5000, 0.0000, 0.0000]]}